# CsAs

Crystalline CsAs at its relaxed geometry (PBE, Alexandria via LeMat-Bulk). Values from VASP.

Quantum ESPRESSO input file:
```
&SYSTEM
  ibrav = 0, nat = 12, ntyp = 2
/
ATOMIC_SPECIES
Cs 132.91 Cs.upf
As 74.92 As.upf
ATOMIC_POSITIONS crystal
Cs 0.850 0.392 0.000
Cs 0.350 0.608 0.500
Cs 0.650 0.608 0.500
Cs 0.150 0.392 0.000
Cs 0.000 0.887 0.500
Cs 0.500 0.113 0.000
As 0.767 0.891 0.000
As 0.267 0.109 0.500
As 0.733 0.109 0.500
As 0.233 0.891 0.000
As 0.000 0.386 0.000
As 0.500 0.614 0.500
CELL_PARAMETERS angstrom
-13.183 -14.055 -13.707
5.117 -3.188 -1.653
-0.527 -2.368 2.934
```

Output
- energy (eV/atom) = -2.930
- magnetic moment (μB/f.u.) = 0.09
- crystal system = orthorhombic
- density of states at the Fermi level (states/eV per atom) = 0.9519
- energy relative to the lowest polymorph listed for this composition (meV per atom) = 274.3
- space group = Pmmn

***

# Cs5As

Crystalline Cs5As at its relaxed geometry (PBE, Alexandria via LeMat-Bulk). Values from VASP.

Quantum ESPRESSO input file:
```
&SYSTEM
  ibrav = 0, nat = 6, ntyp = 2
/
ATOMIC_SPECIES
Cs 132.91 Cs.upf
As 74.92 As.upf
ATOMIC_POSITIONS crystal
Cs 0.395 0.994 0.217
Cs 0.661 0.006 0.671
Cs 0.660 0.726 0.954
Cs 0.027 0.500 0.447
Cs 0.396 0.273 0.935
As 0.028 0.000 0.944
CELL_PARAMETERS angstrom
-2.811 1.958 3.323
-9.174 1.079 -4.968
-4.677 -8.328 4.376
```

Output
- energy (eV/atom) = -1.619
- magnetic moment (μB/f.u.) = 0.00
- crystal system = monoclinic
- density of states at the Fermi level (states/eV per atom) = 0.7086
- energy relative to the lowest polymorph listed for this composition (meV per atom) = 0.0
- space group = Cm